1.
DFT (PBE) results for crystalline Tb3Cu2Si4 at its relaxed geometry.

Summary:
Space group = C2/m (12)
Calculated total energy = -5.599 eV per atom
Total moment = 0.00 Bohr magnetons per cell

Cell: 4.0497 5.6970 8.0449 Å, 100.26 90.00 110.82°
Sites, in units of the cell vectors:
Tb: 0.6620 0.3240 0.6681
Tb: 0.0000 0.0000 0.0000
Tb: 0.3380 0.6760 0.3319
Cu: 0.6121 0.2242 0.2823
Cu: 0.3879 0.7758 0.7177
Si: 0.7176 0.4352 0.0595
Si: 0.2824 0.5648 0.9405
Si: 0.9406 0.8813 0.6118
Si: 0.0594 0.1187 0.3882

=====

2.
DFT (PBE) results for crystalline UPaTe4 at its relaxed geometry.

Summary:
Space group = C2/m (12)
Total moment = 3.01 Bohr magnetons per cell
Offset from the most stable computed form = 0.000 eV/atom

Cell: 4.3522 8.3659 7.5108 Å, 116.03 90.00 105.08°
Each line ends with the local moment (μB).
Sites, in units of the cell vectors:
U: 0.5000 0.0000 0.5000  2.40
Pa: 0.0000 0.0000 0.0000  0.62
Te: 0.8774 0.7549 0.5508  -0.06
Te: 0.1226 0.2451 0.4492  -0.06
Te: 0.3768 0.7537 0.0408  -0.04
Te: 0.6232 0.2463 0.9592  -0.04

=====

3.
DFT (PBE) results for crystalline CsHfMg3 at its relaxed geometry.

Summary:
Space group = Pm-3m (221)
Total moment = 0.32 Bohr magnetons per cell
DFT formation energy = 1847 meV/atom

Cell: 5.6260 5.6260 5.6260 Å, 90.00 90.00 90.00°
Each line ends with the local moment (μB).
Sites, in units of the cell vectors:
Cs: 0.0000 0.0000 0.0000  0.00
Mg: 0.0000 0.5000 0.0000  0.00
Mg: 0.0000 0.0000 0.5000  0.00
Mg: 0.5000 0.0000 0.0000  0.00
Hf: 0.5000 0.5000 0.5000  0.19

=====

4.
DFT (PBE) results for crystalline Li2CoAs at its relaxed geometry.

Summary:
Space group = C2/m (12)
Total moment = 0.77 Bohr magnetons per cell
DFT formation energy = -115 meV/atom

Cell: 4.5853 4.9049 2.7971 Å, 81.04 73.93 112.86°
Each line ends with the local moment (μB).
Sites, in units of the cell vectors:
As: 0.0000 0.5000 0.5000  0.01
Co: 0.5000 0.5000 0.0000  0.88
Li: 0.0000 0.0000 0.0000  -0.02
Li: 0.5000 0.0000 0.5000  -0.02

=====

5.
DFT (PBE) results for crystalline Ca2TlIn2 at its relaxed geometry.

Summary:
Space group = I4/mmm (139)
Total moment = 0.00 Bohr magnetons per cell
Offset from the most stable computed form = 0.317 eV/atom
DFT formation energy = -41 meV/atom

Cell: 5.0342 5.0342 7.6313 Å, 70.74 70.74 90.00°
Sites, in units of the cell vectors:
Tl: 0.0000 0.0000 0.0000
Ca: 0.7500 0.2500 0.5000
Ca: 0.2500 0.7500 0.5000
In: 0.3996 0.3996 0.2007
In: 0.6004 0.6004 0.7993

=====

6.
DFT (PBE) results for crystalline ScSi2W at its relaxed geometry.

Summary:
Space group = P2/m (10)
Total moment = 0.00 Bohr magnetons per cell
Offset from the most stable computed form = 0.137 eV/atom

Cell: 3.3303 3.1646 6.5586 Å, 70.71 90.00 90.00°
Sites, in units of the cell vectors:
Sc: 0.5000 0.7500 0.7500
Si: 0.0000 0.9180 0.0429
Si: 0.0000 0.5820 0.4571
W: 0.5000 0.2500 0.2500